1.
Material: CePm2H
Method: DFT, GGA-PBE
State: relaxed

a = 9.7108 Å, b = 9.7108 Å, c = 9.7108 Å
α = 20.65°, β = 20.65°, γ = 20.65°
Fractional positions:
Ce 0.0000 0.0000 0.0000
Pm 0.1162 0.1162 0.1162
Pm 0.8838 0.8838 0.8838
H 0.5000 0.5000 0.5000

Symmetry   No. 166
ΔE to the lowest computed polymorph   0.0 meV per atom

2.
Material: Pm15YTl4
Method: DFT, GGA-PBE
State: relaxed

a = 4.9626 Å, b = 4.9626 Å, c = 25.3802 Å
α = 90.00°, β = 90.00°, γ = 90.00°
Fractional positions:
Pm 0.0000 0.0000 0.0000
Pm 0.0000 0.0000 0.2046
Pm 0.0000 0.0000 0.4018
Pm 0.0000 0.0000 0.5982
Pm 0.0000 0.0000 0.7954
Pm 0.0000 0.5000 0.1052
Pm 0.0000 0.5000 0.3033
Pm 0.0000 0.5000 0.5000
Pm 0.0000 0.5000 0.6967
Pm 0.0000 0.5000 0.8948
Pm 0.5000 0.0000 0.1052
Pm 0.5000 0.0000 0.3033
Pm 0.5000 0.0000 0.5000
Pm 0.5000 0.0000 0.6967
Pm 0.5000 0.0000 0.8948
Y 0.5000 0.5000 0.0000
Tl 0.5000 0.5000 0.2064
Tl 0.5000 0.5000 0.4019
Tl 0.5000 0.5000 0.5981
Tl 0.5000 0.5000 0.7936

Symmetry   No. 123
Formation energy from the elements   -153 meV/atom

3.
Material: PaCoPt
Method: DFT, GGA-PBE
State: relaxed

a = 5.3261 Å, b = 2.9862 Å, c = 6.4930 Å
α = 90.00°, β = 90.00°, γ = 90.00°
Fractional positions:
Pa 0.2500 0.0000 0.1147
Pa 0.7500 0.0000 0.8853
Co 0.2500 0.5000 0.7854
Co 0.7500 0.5000 0.2146
Pt 0.0000 0.0000 0.5000
Pt 0.5000 0.0000 0.5000

Symmetry   No. 51
Formation energy from the elements   -245 meV/atom

4.
Material: CeNiAu
Method: DFT, GGA-PBE
State: relaxed

a = 4.7090 Å, b = 4.5834 Å, c = 5.6890 Å
α = 90.00°, β = 113.83°, γ = 90.00°
Fractional positions:
Ce 0.1083 0.2500 0.1962
Ce 0.8917 0.7500 0.8038
Ni 0.2108 0.7500 0.4600
Ni 0.7892 0.2500 0.5400
Au 0.4037 0.2500 0.7897
Au 0.5963 0.7500 0.2103

Symmetry   No. 11
Formation energy from the elements   -438 meV/atom

| no. | ρ (g/cm³) |
| --- | --- |
| 1 | 7.2 |
| 2 | 8.2 |
| 3 | 15.6 |
| 4 | 11.7 |